First-principles (PBE) data for a geometry-optimized PmY2Ho3Se6 structure, as listed in Alexandria. Values from VASP.

```
&SYSTEM
  ibrav = 0, nat = 12, ntyp = 4
/
ATOMIC_SPECIES
Pm 145.00 Pm.upf
Y 88.91 Y.upf
Ho 164.93 Ho.upf
Se 78.96 Se.upf
ATOMIC_POSITIONS crystal
Pm 0.000 0.000 0.000
Y 0.334 0.666 0.000
Y 0.666 0.334 0.000
Ho 0.162 0.838 0.500
Ho 0.500 0.500 0.500
Ho 0.838 0.162 0.500
Se 0.086 0.426 0.257
Se 0.255 0.255 0.746
Se 0.426 0.086 0.257
Se 0.574 0.914 0.743
Se 0.745 0.745 0.254
Se 0.914 0.574 0.743
CELL_PARAMETERS angstrom
3.524 -6.139 0.000
3.524 6.139 0.000
-2.360 0.000 6.704
```

**V**: 290.07 Å³/f.u.
**Final energy**: -6.12 eV per atom
**SG**: C2/m
**Raw formation energy**: -1.757 eV per atom
**DOS(E_F)**: 5.54 states/eV/cell

=====

First-principles (PBE) data for a geometry-optimized CuTeI2F structure, as listed in Alexandria. Values from VASP.

```
&SYSTEM
  ibrav = 0, nat = 5, ntyp = 4
/
ATOMIC_SPECIES
Cu 63.55 Cu.upf
Te 127.60 Te.upf
I 126.90 I.upf
F 19.00 F.upf
ATOMIC_POSITIONS crystal
Cu 0.000 0.000 0.000
Te 0.000 0.000 0.500
I 0.000 0.500 0.000
I 0.500 0.000 0.000
F 0.500 0.500 0.500
CELL_PARAMETERS angstrom
5.267 0.000 0.000
0.000 5.267 0.000
0.000 0.000 5.110
```

**Relative energy among the computed polymorphs**: 0.000 eV per atom
**V**: 141.73 Å³/f.u.
**Final energy**: -2.29 eV per atom
**SG**: P4/mmm
**Raw formation energy**: 0.156 eV per atom
**DOS(E_F)**: 5.80 states/eV/cell

=====

First-principles (PBE) data for a geometry-optimized Hf6CN5 structure, as listed in Alexandria. Values from VASP.

```
&SYSTEM
  ibrav = 0, nat = 12, ntyp = 3
/
ATOMIC_SPECIES
Hf 178.49 Hf.upf
C 12.01 C.upf
N 14.01 N.upf
ATOMIC_POSITIONS crystal
Hf 0.082 0.411 0.249
Hf 0.248 0.248 0.755
Hf 0.411 0.082 0.249
Hf 0.589 0.918 0.751
Hf 0.752 0.752 0.245
Hf 0.918 0.589 0.751
C 0.000 0.000 0.000
N 0.166 0.834 0.500
N 0.333 0.667 0.000
N 0.500 0.500 0.500
N 0.667 0.333 0.000
N 0.834 0.166 0.500
CELL_PARAMETERS angstrom
2.789 -4.834 0.000
2.789 4.834 0.000
-1.850 0.000 5.269
```

**V**: 142.06 Å³/f.u.
**Final energy**: -10.87 eV per atom
**SG**: C2/m
**Raw formation energy**: -1.655 eV per atom
**DOS(E_F)**: 3.48 states/eV/cell

=====

First-principles (PBE) data for a geometry-optimized CeErPd4 structure, as listed in Alexandria. Values from VASP.

```
&SYSTEM
  ibrav = 0, nat = 12, ntyp = 3
/
ATOMIC_SPECIES
Ce 140.12 Ce.upf
Er 167.26 Er.upf
Pd 106.42 Pd.upf
ATOMIC_POSITIONS crystal
Ce 0.079 0.921 0.750
Ce 0.921 0.079 0.250
Er 0.225 0.775 0.250
Er 0.775 0.225 0.750
Pd 0.074 0.926 0.250
Pd 0.351 0.649 0.510
Pd 0.351 0.649 0.990
Pd 0.500 0.500 0.000
Pd 0.500 0.500 0.500
Pd 0.649 0.351 0.010
Pd 0.649 0.351 0.490
Pd 0.926 0.074 0.750
CELL_PARAMETERS angstrom
2.090 -9.855 0.000
2.090 9.855 0.000
0.000 0.000 5.776
```

**Relative energy among the computed polymorphs**: 0.000 eV per atom
**V**: 118.96 Å³/f.u.
**Final energy**: -6.05 eV per atom
**SG**: Cmcm
**ΔH_f (0 K)**: -19.2 kcal/mol of atoms
**DOS(E_F)**: 12.21 states/eV/cell

=====

First-principles (PBE) data for a geometry-optimized Pm2MgZn4Pd3 structure, as listed in Alexandria. Values from VASP.

```
&SYSTEM
  ibrav = 0, nat = 10, ntyp = 4
/
ATOMIC_SPECIES
Pm 145.00 Pm.upf
Mg 24.30 Mg.upf
Zn 65.41 Zn.upf
Pd 106.42 Pd.upf
ATOMIC_POSITIONS crystal
Pm 0.000 0.500 0.235
Pm 0.500 0.000 0.765
Mg 0.000 0.000 0.500
Zn 0.000 0.000 0.000
Zn 0.000 0.500 0.647
Zn 0.500 0.000 0.353
Zn 0.500 0.500 0.000
Pd 0.000 0.500 0.857
Pd 0.500 0.000 0.143
Pd 0.500 0.500 0.500
CELL_PARAMETERS angstrom
3.967 0.000 0.000
0.000 3.967 0.000
0.000 0.000 12.377
```

**V**: 194.77 Å³/f.u.
**Final energy**: -3.74 eV per atom
**SG**: P-4m2
**ΔH_f (0 K)**: -12.9 kcal/mol of atoms
**DOS(E_F)**: 3.95 states/eV/cell

=====

First-principles (PBE) data for a geometry-optimized BaBe2Re structure, as listed in Alexandria. Values from VASP.

```
&SYSTEM
  ibrav = 0, nat = 4, ntyp = 3
/
ATOMIC_SPECIES
Ba 137.33 Ba.upf
Be 9.01 Be.upf
Re 186.21 Re.upf
ATOMIC_POSITIONS crystal
Ba 0.000 0.000 0.000
Be 0.250 0.250 0.250
Be 0.750 0.750 0.750
Re 0.500 0.500 0.500
CELL_PARAMETERS angstrom
0.000 3.295 3.295
3.295 0.000 3.295
3.295 3.295 0.000
```

**Relative energy among the computed polymorphs**: 0.853 eV per atom
**V**: 71.57 Å³/f.u.
**Final energy**: -4.18 eV per atom
**SG**: Fm-3m
**ΔH_f (0 K)**: 29.3 kcal/mol of atoms
**DOS(E_F)**: 2.34 states/eV/cell

=====

First-principles (PBE) data for a geometry-optimized CaLa2Os2N6 structure, as listed in Alexandria. Values from VASP.

```
&SYSTEM
  ibrav = 0, nat = 11, ntyp = 4
/
ATOMIC_SPECIES
Ca 40.08 Ca.upf
La 138.91 La.upf
Os 190.23 Os.upf
N 14.01 N.upf
ATOMIC_POSITIONS crystal
Ca 0.000 0.000 0.000
La 0.209 0.209 0.209
La 0.791 0.791 0.791
Os 0.401 0.401 0.401
Os 0.599 0.599 0.599
N 0.229 0.739 0.739
N 0.261 0.261 0.771
N 0.261 0.771 0.261
N 0.739 0.229 0.739
N 0.739 0.739 0.229
N 0.771 0.261 0.261
CELL_PARAMETERS angstrom
2.902 1.676 6.082
-2.902 1.676 6.082
0.000 -3.351 6.082
```

**V**: 177.45 Å³/f.u.
**Final energy**: -8.11 eV per atom
**SG**: R-3m
**Raw formation energy**: -0.451 eV per atom
**DOS(E_F)**: 8.16 states/eV/cell

=====

First-principles (PBE) data for a geometry-optimized Sr2GaCu3Ge4 structure, as listed in Alexandria. Values from VASP.

```
&SYSTEM
  ibrav = 0, nat = 10, ntyp = 4
/
ATOMIC_SPECIES
Sr 87.62 Sr.upf
Ga 69.72 Ga.upf
Cu 63.55 Cu.upf
Ge 72.64 Ge.upf
ATOMIC_POSITIONS crystal
Sr 0.000 0.500 0.247
Sr 0.500 0.000 0.753
Ga 0.000 0.000 0.500
Cu 0.000 0.500 0.872
Cu 0.500 0.000 0.128
Cu 0.500 0.500 0.500
Ge 0.000 0.000 0.000
Ge 0.000 0.500 0.640
Ge 0.500 0.000 0.360
Ge 0.500 0.500 0.000
CELL_PARAMETERS angstrom
4.272 0.000 0.000
0.000 4.272 0.000
0.000 0.000 10.667
```

**V**: 194.65 Å³/f.u.
**Final energy**: -4.09 eV per atom
**SG**: P-4m2
**ΔH_f (0 K)**: -8.6 kcal/mol of atoms
**DOS(E_F)**: 3.07 states/eV/cell